Run A
Computed, not measured: Cu2AgRu after structural relaxation at the PBE-GGA level of DFT.

a b c (Å): 4.607 4.607 4.989
angles (deg): 97.91 97.91 32.77
Fractional positions:
Cu 0.246 0.246 0.230
Cu 0.754 0.754 0.770
Ag 0.000 0.000 0.500
Ru 0.500 0.500 0.000

* M_tot: 0.00 μB/f.u.
* symmetry: C2/m, No. 12



Run B
Computed, not measured: Cu2AgRu after structural relaxation at the PBE-GGA level of DFT.

a b c (Å): 5.085 5.085 4.720
angles (deg): 111.03 111.03 29.57
Fractional positions:
Cu 0.000 0.000 0.000
Cu 0.729 0.729 0.373
Ag 0.485 0.485 0.494
Ru 0.251 0.251 0.892

* M_tot: 0.00 μB/f.u.
* symmetry: Cm, No. 8



Which of them is least stable? Easy: run A.



Run A
Computed, not measured: CuAgRu2 after structural relaxation at the PBE-GGA level of DFT.

a b c (Å): 2.777 2.777 7.591
angles (deg): 90.00 90.00 90.00
Fractional positions:
Cu 0.000 0.000 0.000
Ag 0.500 0.500 0.747
Ru 0.000 0.000 0.459
Ru 0.500 0.500 0.241

* M_tot: 0.00 μB/f.u.
* symmetry: P4mm, No. 99



Run B
Computed, not measured: CuAgRu2 after structural relaxation at the PBE-GGA level of DFT.

a b c (Å): 5.009 5.009 2.647
angles (deg): 90.00 90.00 118.37
Fractional positions:
Cu 0.000 0.000 0.000
Ag 0.500 0.500 0.000
Ru 0.000 0.500 0.500
Ru 0.500 0.000 0.500

* M_tot: 0.00 μB/f.u.
* symmetry: Cmmm, No. 65



Run C
Computed, not measured: CuAgRu2 after structural relaxation at the PBE-GGA level of DFT.

a b c (Å): 5.532 5.532 5.532
angles (deg): 151.20 133.46 55.65
Fractional positions:
Cu 0.000 0.000 0.000
Ag 0.500 0.500 0.000
Ru 0.219 0.719 0.500
Ru 0.781 0.281 0.500

* M_tot: 0.00 μB/f.u.
* symmetry: Immm, No. 71



Run D
Computed, not measured: CuAgRu2 after structural relaxation at the PBE-GGA level of DFT.

a b c (Å): 2.694 2.694 9.287
angles (deg): 90.00 90.00 117.94
Fractional positions:
Cu 0.000 0.000 0.000
Ag 0.500 0.500 0.251
Ru 0.000 0.000 0.526
Ru 0.500 0.500 0.759

* M_tot: 0.95 μB/f.u.
* symmetry: Cmm2, No. 35



Which of them is least stable? Easy: run B.



Run A
Computed, not measured: Cu3AgS after structural relaxation at the PBE-GGA level of DFT.

a b c (Å): 4.696 4.696 4.696
angles (deg): 90.00 90.00 90.00
Fractional positions:
Cu 0.000 0.000 0.500
Cu 0.000 0.500 0.000
Cu 0.500 0.000 0.000
Ag 0.000 0.000 0.000
S 0.500 0.500 0.500

* M_tot: 0.00 μB/f.u.
* symmetry: Pm-3m, No. 221



Run B
Computed, not measured: Cu3AgS after structural relaxation at the PBE-GGA level of DFT.

a b c (Å): 4.380 4.380 4.380
angles (deg): 90.00 90.00 90.00
Fractional positions:
Cu 0.000 0.000 0.500
Cu 0.000 0.500 0.000
Cu 0.500 0.000 0.000
Ag 0.500 0.500 0.500
S 0.000 0.000 0.000

* M_tot: 0.00 μB/f.u.
* symmetry: Pm-3m, No. 221



Which of them is least stable? Easy: run A.



Run A
Computed, not measured: CuAg2S2 after structural relaxation at the PBE-GGA level of DFT.

a b c (Å): 7.237 7.237 7.237
angles (deg): 152.60 143.99 45.84
Fractional positions:
Cu 0.000 0.000 0.000
Ag 0.299 0.299 0.000
Ag 0.701 0.701 0.000
S 0.114 0.614 0.500
S 0.886 0.386 0.500

* M_tot: 0.00 μB/f.u.
* symmetry: Immm, No. 71



Run B
Computed, not measured: CuAg2S2 after structural relaxation at the PBE-GGA level of DFT.

a b c (Å): 3.431 3.431 8.470
angles (deg): 90.00 90.00 120.00
Fractional positions:
Cu 0.000 0.000 0.000
Ag 0.333 0.667 0.377
Ag 0.667 0.333 0.623
S 0.333 0.667 0.839
S 0.667 0.333 0.161

* M_tot: 0.00 μB/f.u.
* symmetry: P-3m1, No. 164



Run C
Computed, not measured: CuAg2S2 after structural relaxation at the PBE-GGA level of DFT.

a b c (Å): 6.572 6.572 4.106
angles (deg): 90.00 90.00 90.00
Fractional positions:
Cu 0.000 0.000 0.000
Cu 0.500 0.500 0.000
Ag 0.153 0.347 0.500
Ag 0.347 0.847 0.500
Ag 0.653 0.153 0.500
Ag 0.847 0.653 0.500
S 0.176 0.676 0.000
S 0.324 0.176 0.000
S 0.676 0.824 0.000
S 0.824 0.324 0.000

* M_tot: 0.00 μB/f.u.
* symmetry: P4/mbm, No. 127



Which of them is least stable? Easy: run C.



Run A
Computed, not measured: CuAg2Sb after structural relaxation at the PBE-GGA level of DFT.

a b c (Å): 5.807 5.807 3.117
angles (deg): 105.48 105.48 120.61
Fractional positions:
Cu 0.000 0.000 0.000
Ag 0.000 0.500 0.500
Ag 0.500 0.000 0.500
Sb 0.500 0.500 0.000

* M_tot: 0.00 μB/f.u.
* symmetry: C2/m, No. 12



Run B
Computed, not measured: CuAg2Sb after structural relaxation at the PBE-GGA level of DFT.

a b c (Å): 5.250 5.250 5.250
angles (deg): 133.93 133.93 67.19
Fractional positions:
Cu 0.000 0.000 0.000
Ag 0.250 0.750 0.500
Ag 0.750 0.250 0.500
Sb 0.500 0.500 0.000

* M_tot: 0.00 μB/f.u.
* symmetry: I4/mmm, No. 139



Run C
Computed, not measured: CuAg2Sb after structural relaxation at the PBE-GGA level of DFT.

a b c (Å): 3.058 4.676 5.409
angles (deg): 90.00 99.35 90.00
Fractional positions:
Cu 0.000 0.000 0.000
Ag 0.334 0.500 0.226
Ag 0.666 0.500 0.774
Sb 0.000 0.000 0.500

* M_tot: 0.00 μB/f.u.
* symmetry: P2/m, No. 10



Which of them is least stable? Easy: run A.



Run A
Computed, not measured: CuAg2Sb after structural relaxation at the PBE-GGA level of DFT.

a b c (Å): 3.485 3.485 6.131
angles (deg): 90.00 90.00 90.00
Fractional positions:
Cu 0.000 0.000 0.000
Ag 0.000 0.000 0.527
Ag 0.500 0.500 0.772
Sb 0.500 0.500 0.237

* M_tot: 0.00 μB/f.u.
* symmetry: P4mm, No. 99



Run B
Computed, not measured: CuAg2Sb after structural relaxation at the PBE-GGA level of DFT.

a b c (Å): 4.100 4.100 4.363
angles (deg): 90.00 90.00 90.00
Fractional positions:
Cu 0.000 0.000 0.000
Ag 0.000 0.500 0.500
Ag 0.500 0.000 0.500
Sb 0.500 0.500 0.000

* M_tot: 0.00 μB/f.u.
* symmetry: P4/mmm, No. 123



Which of them is least stable? Easy: run A.



Run A
Computed, not measured: CuAgSb after structural relaxation at the PBE-GGA level of DFT.

a b c (Å): 4.272 4.274 7.044
angles (deg): 72.46 72.54 89.95
Fractional positions:
Cu 0.000 0.000 0.000
Cu 0.500 0.500 0.000
Ag 0.132 0.634 0.731
Ag 0.868 0.366 0.269
Sb 0.363 0.862 0.279
Sb 0.637 0.138 0.721

* M_tot: 0.00 μB/f.u.
* symmetry: P-1, No. 2



Run B
Computed, not measured: CuAgSb after structural relaxation at the PBE-GGA level of DFT.

a b c (Å): 6.236 6.236 6.236
angles (deg): 150.76 150.76 41.83
Fractional positions:
Cu 0.000 0.000 0.000
Ag 0.638 0.638 0.000
Sb 0.342 0.342 0.000

* M_tot: 0.00 μB/f.u.
* symmetry: I4mm, No. 107



Which of them is least stable? Easy: run B.



Run A
Computed, not measured: CuAgSb after structural relaxation at the PBE-GGA level of DFT.

a b c (Å): 4.182 4.798 6.933
angles (deg): 75.98 72.52 64.27
Fractional positions:
Cu 0.000 0.000 0.000
Cu 0.244 0.872 0.637
Ag 0.280 0.204 0.233
Ag 0.682 0.608 0.027
Sb 0.494 0.240 0.771
Sb 0.908 0.780 0.399

* M_tot: 0.00 μB/f.u.
* symmetry: P1, No. 1



Run B
Computed, not measured: CuAgSb after structural relaxation at the PBE-GGA level of DFT.

a b c (Å): 4.303 4.301 6.291
angles (deg): 90.00 90.03 90.00
Fractional positions:
Cu 0.000 0.000 0.000
Cu 0.500 0.500 0.000
Ag 0.000 0.500 0.725
Ag 0.501 0.000 0.275
Sb 0.001 0.500 0.273
Sb 0.500 0.000 0.727

* M_tot: 0.00 μB/f.u.
* symmetry: Pm, No. 6



Which of them is least stable? Easy: run A.